Entry 1:
# YMg8Co4

An optimized crystal structure of YMg8Co4 (PBE-GGA, Alexandria).

Cell lengths 5.258, 7.126, 7.126 Å; angles 82.18, 68.35, 68.35 degrees
Last column: magnetic moment on the atom in μB.
Element x y z (fractional)
Y 0.000 0.000 0.000  -0.05
Mg 0.000 0.337 0.663  -0.01
Mg 0.000 0.663 0.337  -0.01
Mg 0.337 0.663 0.663  -0.01
Mg 0.663 0.337 0.337  -0.01
Mg 0.500 0.780 0.220  -0.01
Mg 0.500 0.220 0.780  -0.01
Mg 0.280 0.220 0.220  -0.01
Mg 0.720 0.780 0.780  -0.01
Co 0.000 0.000 0.500  1.17
Co 0.500 0.000 0.500  1.17
Co 0.000 0.500 0.000  1.17
Co 0.500 0.500 0.000  1.17

Calculated values
formation energy: 0.04 eV per atom
V: 230.68 Å³ per cell
density: 3.74 g cm⁻³
raw total energy: -47.17 eV per cell

=====

Entry 2:
# Tb12PmPr3

An optimized crystal structure of Tb12PmPr3 (PBE-GGA, Alexandria).

Cell lengths 5.083, 5.083, 20.329 Å; angles 90.00, 90.00, 90.00 degrees
Element x y z (fractional)
Tb 0.500 0.500 0.000
Tb 0.500 0.500 0.249
Tb 0.500 0.500 0.500
Tb 0.500 0.500 0.751
Tb 0.500 0.000 0.124
Tb 0.500 0.000 0.375
Tb 0.500 0.000 0.625
Tb 0.500 0.000 0.876
Tb 0.000 0.500 0.124
Tb 0.000 0.500 0.375
Tb 0.000 0.500 0.625
Tb 0.000 0.500 0.876
Pm 0.000 0.000 0.000
Pr 0.000 0.000 0.250
Pr 0.000 0.000 0.500
Pr 0.000 0.000 0.750

Calculated values
formation energy: 0.02 eV per atom
V: 525.25 Å³ per cell
density: 7.82 g cm⁻³
raw total energy: -74.36 eV per cell

=====

Q: The lowest raw total energy belongs to which entry?
A: Tb12PmPr3

=====

Q: The lowest density belongs to which entry?
A: YMg8Co4